(1)
YTlTeN2: optimized geometry, GGA-PBE.

Geometry as POSCAR:
```
YTlTeN2
1.0
4.376 0.000 0.000
0.000 4.376 0.000
0.000 0.000 5.972
Y Tl Te N
1 1 1 2
direct
0.000 0.000 0.000 Y
0.500 0.500 0.500 Tl
0.500 0.500 0.000 Te
0.000 0.500 0.500 N
0.500 0.000 0.500 N
```

Calculated values
distance to the lowest polymorph of the same formula: 439 meV per atom
magnetic moment: 0.307 μB per atom
energy: -4.647 eV per atom
symmetry: P4/mmm (123)
formation energy (no corrections): 1.078 eV per atom

(2)
YTlTeN2: optimized geometry, GGA-PBE.

Geometry as POSCAR:
```
YTlTeN2
1.0
4.465 0.000 0.000
0.000 4.465 0.000
0.000 0.000 6.342
Y Tl Te N
1 1 1 2
direct
0.000 0.000 0.000 Y
0.500 0.500 0.500 Tl
0.000 0.000 0.500 Te
0.000 0.500 0.000 N
0.500 0.000 0.000 N
```

Calculated values
distance to the lowest polymorph of the same formula: 0 meV per atom
magnetic moment: 0.000 μB per atom
energy: -5.086 eV per atom
symmetry: P4/mmm (123)
formation energy (no corrections): 0.639 eV per atom

(3)
TlZnTeN2: optimized geometry, GGA-PBE.

Geometry as POSCAR:
```
TlZnTeN2
1.0
4.233 0.000 0.000
0.000 4.233 0.000
0.000 0.000 5.922
Tl Zn Te N
1 1 1 2
direct
0.000 0.000 0.000 Tl
0.500 0.500 0.500 Zn
0.500 0.500 0.000 Te
0.000 0.500 0.500 N
0.500 0.000 0.500 N
```

Calculated values
distance to the lowest polymorph of the same formula: 141 meV per atom
magnetic moment: 0.753 μB per atom
energy: -3.308 eV per atom
symmetry: P4/mmm (123)
formation energy (no corrections): 1.378 eV per atom

(4)
TlZnTeN2: optimized geometry, GGA-PBE.

Geometry as POSCAR:
```
TlZnTeN2
1.0
4.320 0.000 0.000
0.000 4.320 0.000
0.000 0.000 6.560
Tl Zn Te N
1 1 1 2
direct
0.000 0.000 0.000 Tl
0.500 0.500 0.500 Zn
0.000 0.000 0.500 Te
0.000 0.500 0.000 N
0.500 0.000 0.000 N
```

Calculated values
distance to the lowest polymorph of the same formula: 454 meV per atom
magnetic moment: 0.654 μB per atom
energy: -2.995 eV per atom
symmetry: P4/mmm (123)
formation energy (no corrections): 1.692 eV per atom

(5)
TlZnTeN2: optimized geometry, GGA-PBE.

Geometry as POSCAR:
```
TlZnTeN2
1.0
4.172 0.000 0.000
0.000 4.172 0.000
0.000 0.000 5.357
Tl Zn Te N
1 1 1 2
direct
0.000 0.000 0.000 Tl
0.500 0.500 0.000 Zn
0.500 0.500 0.500 Te
0.000 0.500 0.500 N
0.500 0.000 0.500 N
```

Calculated values
distance to the lowest polymorph of the same formula: 0 meV per atom
magnetic moment: 0.000 μB per atom
energy: -3.449 eV per atom
symmetry: P4/mmm (123)
formation energy (no corrections): 1.238 eV per atom

(6)
ZrTlTeN2: optimized geometry, GGA-PBE.

Geometry as POSCAR:
```
ZrTlTeN2
1.0
4.275 0.000 0.000
0.000 4.275 0.000
0.000 0.000 6.078
Zr Tl Te N
1 1 1 2
direct
0.000 0.000 0.000 Zr
0.500 0.500 0.500 Tl
0.000 0.000 0.500 Te
0.000 0.500 0.000 N
0.500 0.000 0.000 N
```

Calculated values
distance to the lowest polymorph of the same formula: 0 meV per atom
magnetic moment: 0.137 μB per atom
energy: -5.849 eV per atom
symmetry: P4/mmm (123)
formation energy (no corrections): 0.293 eV per atom

(7)
ZrTlTeN2: optimized geometry, GGA-PBE.

Geometry as POSCAR:
```
ZrTlTeN2
1.0
4.253 0.000 0.000
0.000 4.253 0.000
0.000 0.000 5.837
Zr Tl Te N
1 1 1 2
direct
0.000 0.000 0.000 Zr
0.500 0.500 0.500 Tl
0.500 0.500 0.000 Te
0.000 0.500 0.500 N
0.500 0.000 0.500 N
```

Calculated values
distance to the lowest polymorph of the same formula: 1294 meV per atom
magnetic moment: 0.000 μB per atom
energy: -4.555 eV per atom
symmetry: P4/mmm (123)
formation energy (no corrections): 1.587 eV per atom

(8)
Tm3Te2N: optimized geometry, GGA-PBE.

Geometry as POSCAR:
```
Tm3Te2N
1.0
6.768 -2.883 0.000
6.768 2.883 0.000
-2.038 0.000 7.156
Tm Te N
6 4 2
direct
0.044 0.956 0.750 Tm
0.382 0.383 0.941 Tm
0.383 0.382 0.441 Tm
0.617 0.618 0.559 Tm
0.618 0.617 0.059 Tm
0.956 0.044 0.250 Tm
0.182 0.183 0.591 Te
0.183 0.182 0.091 Te
0.817 0.818 0.909 Te
0.818 0.817 0.409 Te
0.466 0.534 0.750 N
0.534 0.466 0.250 N
```

Calculated values
magnetic moment: 0.000 μB per atom
energy: -5.891 eV per atom
symmetry: C2/c (15)
formation energy (no corrections): -1.220 eV per atom

(9)
Tm5Te2N: optimized geometry, GGA-PBE.

Geometry as POSCAR:
```
Tm5Te2N
1.0
2.075 -8.120 0.000
2.075 8.120 0.000
0.000 0.000 14.047
Tm Te N
10 4 2
direct
0.118 0.882 0.629 Tm
0.118 0.882 0.871 Tm
0.236 0.764 0.250 Tm
0.313 0.687 0.548 Tm
0.313 0.687 0.952 Tm
0.687 0.313 0.048 Tm
0.687 0.313 0.452 Tm
0.764 0.236 0.750 Tm
0.882 0.118 0.129 Tm
0.882 0.118 0.371 Tm
0.072 0.928 0.118 Te
0.072 0.928 0.382 Te
0.928 0.072 0.618 Te
0.928 0.072 0.882 Te
0.206 0.794 0.750 N
0.794 0.206 0.250 N
```

Calculated values
magnetic moment: 0.000 μB per atom
energy: -5.337 eV per atom
symmetry: Cmcm (63)
formation energy (no corrections): -0.717 eV per atom

(10)
Tm5Te5N2: optimized geometry, GGA-PBE.

Geometry as POSCAR:
```
Tm5Te5N2
1.0
7.689 -1.980 0.000
7.689 1.980 0.000
-0.272 0.000 10.319
Tm Te N
5 5 2
direct
0.000 0.000 0.000 Tm
0.093 0.093 0.702 Tm
0.396 0.396 0.753 Tm
0.604 0.604 0.247 Tm
0.907 0.907 0.298 Tm
0.250 0.250 0.357 Te
0.357 0.357 0.056 Te
0.500 0.500 0.500 Te
0.643 0.643 0.944 Te
0.750 0.750 0.643 Te
0.034 0.034 0.214 N
0.966 0.966 0.786 N
```

Calculated values
magnetic moment: 0.000 μB per atom
energy: -5.886 eV per atom
symmetry: C2/m (12)
formation energy (no corrections): -1.326 eV per atom

(11)
TmTeN: optimized geometry, GGA-PBE.

Geometry as POSCAR:
```
TmTeN
1.0
4.081 0.000 0.000
0.371 5.156 0.000
0.120 1.034 6.336
Tm Te N
2 2 2
direct
0.238 0.205 0.337 Tm
0.762 0.795 0.663 Tm
0.287 0.317 0.812 Te
0.713 0.683 0.188 Te
0.243 0.981 0.671 N
0.757 0.019 0.329 N
```

Calculated values
magnetic moment: 0.000 μB per atom
energy: -6.221 eV per atom
symmetry: P-1 (2)
formation energy (no corrections): -0.909 eV per atom

(12)
Tm4TeN: optimized geometry, GGA-PBE.

Geometry as POSCAR:
```
Tm4TeN
1.0
9.007 -2.315 0.000
9.007 2.315 0.000
-3.404 0.000 8.250
Tm Te N
8 2 2
direct
0.020 0.020 0.196 Tm
0.184 0.184 0.896 Tm
0.232 0.232 0.297 Tm
0.393 0.393 0.949 Tm
0.607 0.607 0.051 Tm
0.768 0.768 0.703 Tm
0.816 0.816 0.104 Tm
0.980 0.980 0.804 Tm
0.145 0.145 0.536 Te
0.855 0.855 0.464 Te
0.104 0.104 0.065 N
0.896 0.896 0.935 N
```

Calculated values
magnetic moment: 0.000 μB per atom
energy: -5.590 eV per atom
symmetry: C2/m (12)
formation energy (no corrections): -0.698 eV per atom

(13)
TmUTe2N: optimized geometry, GGA-PBE.

Geometry as POSCAR:
```
TmUTe2N
1.0
4.042 0.000 0.000
0.000 4.042 0.000
0.000 0.000 15.783
Tm U Te N
2 2 4 2
direct
0.250 0.250 0.133 Tm
0.750 0.750 0.867 Tm
0.250 0.250 0.569 U
0.750 0.750 0.431 U
0.250 0.250 0.317 Te
0.250 0.250 0.918 Te
0.750 0.750 0.082 Te
0.750 0.750 0.683 Te
0.250 0.750 0.500 N
0.750 0.250 0.500 N
```

Calculated values
magnetic moment: 0.358 μB per atom
energy: -7.318 eV per atom
symmetry: P4/nmm (129)
formation energy (no corrections): -1.244 eV per atom

(14)
U2Te2N: optimized geometry, GGA-PBE.

Geometry as POSCAR:
```
U2Te2N
1.0
3.145 0.000 0.000
0.000 3.145 0.000
0.000 0.000 14.849
U Te N
2 2 1
direct
0.000 0.000 0.134 U
0.000 0.000 0.866 U
0.000 0.000 0.346 Te
0.000 0.000 0.654 Te
0.000 0.000 0.000 N
```

Calculated values
distance to the lowest polymorph of the same formula: 1223 meV per atom
magnetic moment: 1.018 μB per atom
energy: -7.141 eV per atom
symmetry: P4/mmm (123)
formation energy (no corrections): 0.296 eV per atom

(15)
U2TeN2: optimized geometry, GGA-PBE.

Geometry as POSCAR:
```
U2TeN2
1.0
3.780 0.000 0.000
0.000 3.780 0.000
0.000 0.000 6.503
U Te N
2 1 2
direct
0.000 0.000 0.207 U
0.000 0.000 0.793 U
0.500 0.500 0.500 Te
0.000 0.500 0.000 N
0.500 0.000 0.000 N
```

Calculated values
magnetic moment: 0.759 μB per atom
energy: -9.219 eV per atom
symmetry: P4/mmm (123)
formation energy (no corrections): -0.745 eV per atom

(16)
U3TeN3: optimized geometry, GGA-PBE.

Geometry as POSCAR:
```
U3TeN3
1.0
3.328 1.921 7.462
-3.328 1.921 7.462
0.000 -3.843 7.462
U Te N
6 2 6
direct
0.055 0.396 0.734 U
0.266 0.945 0.604 U
0.396 0.734 0.055 U
0.604 0.266 0.945 U
0.734 0.055 0.396 U
0.945 0.604 0.266 U
0.167 0.167 0.167 Te
0.833 0.833 0.833 Te
0.044 0.705 0.372 N
0.295 0.628 0.956 N
0.372 0.044 0.705 N
0.628 0.956 0.295 N
0.705 0.372 0.044 N
0.956 0.295 0.628 N
```

Calculated values
magnetic moment: 0.997 μB per atom
energy: -10.040 eV per atom
symmetry: R-3 (148)
formation energy (no corrections): -1.185 eV per atom

(17)
U2TeN: optimized geometry, GGA-PBE.

Geometry as POSCAR:
```
U2TeN
1.0
1.866 1.077 6.899
-1.866 1.077 6.899
0.000 -2.155 6.899
U Te N
2 1 1
direct
0.225 0.225 0.225 U
0.775 0.775 0.775 U
0.000 0.000 0.000 Te
0.500 0.500 0.500 N
```

Calculated values
distance to the lowest polymorph of the same formula: 0 meV per atom
magnetic moment: 1.198 μB per atom
energy: -9.294 eV per atom
symmetry: R-3m (166)
formation energy (no corrections): -0.783 eV per atom

(18)
U2Te2N: optimized geometry, GGA-PBE.

Geometry as POSCAR:
```
U2Te2N
1.0
-3.393 6.138 2.966
3.393 -6.138 2.966
3.393 6.138 -2.966
U Te N
4 4 2
direct
0.095 0.185 0.280 U
0.405 0.685 0.090 U
0.595 0.315 0.910 U
0.905 0.815 0.720 U
0.148 0.660 0.808 Te
0.352 0.160 0.512 Te
0.648 0.840 0.488 Te
0.852 0.340 0.192 Te
0.250 0.250 0.000 N
0.750 0.750 0.000 N
```

Calculated values
distance to the lowest polymorph of the same formula: 0 meV per atom
magnetic moment: 0.970 μB per atom
energy: -8.364 eV per atom
symmetry: Ibam (72)
formation energy (no corrections): -0.927 eV per atom

(19)
U2TeN: optimized geometry, GGA-PBE.

Geometry as POSCAR:
```
U2TeN
1.0
3.330 0.000 0.000
0.000 3.330 0.000
0.000 0.000 6.856
U Te N
2 1 1
direct
0.000 0.000 0.175 U
0.000 0.000 0.825 U
0.500 0.500 0.500 Te
0.500 0.500 0.000 N
```

Calculated values
distance to the lowest polymorph of the same formula: 584 meV per atom
magnetic moment: 0.223 μB per atom
energy: -8.709 eV per atom
symmetry: P4/mmm (123)
formation energy (no corrections): -0.198 eV per atom

(20)
U3Te2N2: optimized geometry, GGA-PBE.

Geometry as POSCAR:
```
U3Te2N2
1.0
6.091 -1.946 0.000
6.091 1.946 0.000
-4.308 0.000 6.494
U Te N
3 2 2
direct
0.000 0.000 0.000 U
0.187 0.187 0.768 U
0.813 0.813 0.232 U
0.423 0.423 0.642 Te
0.577 0.577 0.358 Te
0.204 0.204 0.076 N
0.796 0.796 0.924 N
```

Calculated values
magnetic moment: 1.098 μB per atom
energy: -9.177 eV per atom
symmetry: C2/m (12)
formation energy (no corrections): -1.063 eV per atom

(21)
U2TeN2: optimized geometry, GGA-PBE.

Geometry as POSCAR:
```
U2TeN2
1.0
-1.940 1.940 6.320
1.940 -1.940 6.320
1.940 1.940 -6.320
U Te N
2 1 2
direct
0.159 0.159 0.000 U
0.841 0.841 0.000 U
0.500 0.500 0.000 Te
0.250 0.750 0.500 N
0.750 0.250 0.500 N
```

Calculated values
magnetic moment: 0.800 μB per atom
energy: -9.815 eV per atom
symmetry: I4/mmm (139)
formation energy (no corrections): -1.341 eV per atom

(22)
YUTe2N: optimized geometry, GGA-PBE.

Geometry as POSCAR:
```
YUTe2N
1.0
4.047 0.000 0.000
0.000 4.047 0.000
0.000 0.000 16.084
Y U Te N
2 2 4 2
direct
0.250 0.250 0.137 Y
0.750 0.750 0.863 Y
0.250 0.250 0.567 U
0.750 0.750 0.433 U
0.250 0.250 0.321 Te
0.250 0.250 0.919 Te
0.750 0.750 0.081 Te
0.750 0.750 0.679 Te
0.250 0.750 0.500 N
0.750 0.250 0.500 N
```

Calculated values
magnetic moment: 0.354 μB per atom
energy: -7.741 eV per atom
symmetry: P4/nmm (129)
formation energy (no corrections): -1.269 eV per atom

(23)
YUTeN2: optimized geometry, GGA-PBE.

Geometry as POSCAR:
```
YUTeN2
1.0
-1.960 1.960 6.302
1.960 -1.960 6.302
1.960 1.960 -6.302
Y U Te N
1 1 1 2
direct
0.000 0.000 0.000 Y
0.328 0.328 0.000 U
0.665 0.665 0.000 Te
0.403 0.903 0.500 N
0.903 0.403 0.500 N
```

Calculated values
magnetic moment: 0.200 μB per atom
energy: -8.996 eV per atom
symmetry: I4mm (107)
formation energy (no corrections): -1.487 eV per atom

(24)
ZrUTeN2: optimized geometry, GGA-PBE.

Geometry as POSCAR:
```
ZrUTeN2
1.0
6.751 0.000 0.000
0.000 3.973 0.000
-2.275 0.000 7.264
Zr U Te N
2 2 2 4
direct
0.142 0.250 0.409 Zr
0.858 0.750 0.591 Zr
0.177 0.250 0.924 U
0.823 0.750 0.076 U
0.454 0.750 0.265 Te
0.546 0.250 0.735 Te
0.003 0.250 0.628 N
0.024 0.750 0.885 N
0.976 0.250 0.115 N
0.997 0.750 0.372 N
```

Calculated values
magnetic moment: 0.402 μB per atom
energy: -9.264 eV per atom
symmetry: P2_1/m (11)
formation energy (no corrections): -1.338 eV per atom

(25)
VTe3N: optimized geometry, GGA-PBE.

Geometry as POSCAR:
```
VTe3N
1.0
4.742 0.000 0.000
0.000 4.742 0.000
0.000 0.000 4.742
V Te N
1 3 1
direct
0.000 0.000 0.000 V
0.000 0.500 0.500 Te
0.500 0.000 0.500 Te
0.500 0.500 0.000 Te
0.500 0.500 0.500 N
```

Calculated values
distance to the lowest polymorph of the same formula: 0 meV per atom
magnetic moment: 0.526 μB per atom
energy: -4.600 eV per atom
symmetry: Pm-3m (221)
formation energy (no corrections): 0.774 eV per atom